# KRe3Ag PBE relaxed
# uncorrected energy: -5.16 eV/atom
# energy relative to the elements: 3097 meV/atom
# magnetization: 6.91 μB per cell
# Fermi-level density of states: 10.1 states/eV/cell
data_KRe3Ag
_chemical_formula_sum 'K1 Re3 Ag1'
_cell_length_a 4.9892
_cell_length_b 4.9892
_cell_length_c 4.9892
_cell_angle_alpha 90.00
_cell_angle_beta 90.00
_cell_angle_gamma 90.00
_space_group_name_H-M_alt 'P m -3 m'
_space_group_IT_number 221
_space_group_name_Hall '-P 4 2 3'
loop_
_atom_site_label
_atom_site_type_symbol
_atom_site_fract_x
_atom_site_fract_y
_atom_site_fract_z
K1 K 0.0000 0.0000 0.0000
Re1 Re 0.0000 0.5000 0.5000
Ag1 Ag 0.5000 0.5000 0.5000